(1)
Entry from Alexandria: crystalline Ta2RhSe at its relaxed geometry (GGA-PBEsol).

abc: 4.846 4.846 4.846
angles: 136.36 122.47 74.90
Fractional coordinates of all 4 atoms:
Ta: 0.238 0.238 0.000
Ta: 0.762 0.762 0.000
Rh: 0.500 0.000 0.500
Se: 0.000 0.500 0.500

Output
- Magnetization: 0.00 μB per cell
- Formation energy (no corrections): -0.12 eV per atom
- SG: Immm

---

(2)
Entry from Alexandria: crystalline Ta2RhSe at its relaxed geometry (GGA-PBEsol).

abc: 3.181 7.072 7.072
angles: 26.14 90.00 90.00
Fractional coordinates of all 4 atoms:
Ta: 0.000 0.000 0.000
Ta: 0.500 0.364 0.364
Rh: 0.000 0.774 0.774
Se: 0.500 0.608 0.608

Output
- Magnetization: 0.00 μB per cell
- Formation energy (no corrections): -0.31 eV per atom
- SG: Amm2

---

(3)
Entry from Alexandria: crystalline Ta2RhSe at its relaxed geometry (GGA-PBEsol).

abc: 3.265 3.265 6.214
angles: 90.00 90.00 90.00
Fractional coordinates of all 4 atoms:
Ta: 0.000 0.000 0.000
Ta: 0.500 0.500 0.302
Rh: 0.500 0.500 0.809
Se: 0.000 0.000 0.515

Output
- Magnetization: 0.00 μB per cell
- Formation energy (no corrections): -0.32 eV per atom
- SG: P4mm